No. 1
First-principles (PBEsol) data for a geometry-optimized SnB2PdI structure, as listed in the Alexandria database.

Lattice parameters (Å, degrees): 4.306 4.306 5.849 90.00 90.00 90.00
Space group P4/mmm (No. 123)
Symmetry-distinct sites (fractional):
Sn  0.000  0.000  0.000 [1 per cell]
B  0.000  0.500  0.500 [2 per cell]
Pd  0.500  0.500  0.000 [1 per cell]
I  0.000  0.000  0.500 [1 per cell]

Computed properties:
**ΔE_f (raw)**: 10.5 eV/f.u.
**DOS(E_F)**: 0.53 states/eV per atom



No. 2
First-principles (PBEsol) data for a geometry-optimized RbBTeI2 structure, as listed in the Alexandria database.

Lattice parameters (Å, degrees): 6.621 6.621 6.508 90.00 90.00 90.00
Space group P4/mmm (No. 123)
Symmetry-distinct sites (fractional):
Rb  0.000  0.000  0.000 [1 per cell]
B  0.500  0.500  0.500 [1 per cell]
Te  0.000  0.000  0.500 [1 per cell]
I  0.000  0.500  0.000 [2 per cell]

Computed properties:
**ΔE_f (raw)**: 6.8 eV/f.u.
**DOS(E_F)**: 1.23 states/eV per atom



No. 3
First-principles (PBEsol) data for a geometry-optimized Re3BI structure, as listed in the Alexandria database.

Lattice parameters (Å, degrees): 4.780 4.780 4.780 90.00 90.00 90.00
Space group Pm-3m (No. 221)
Symmetry-distinct sites (fractional):
Re  0.000  0.000  0.500 [3 per cell]
B  0.500  0.500  0.500 [1 per cell]
I  0.000  0.000  0.000 [1 per cell]

Computed properties:
**ΔE_f (raw)**: 19.6 eV/f.u.
**DOS(E_F)**: 1.13 states/eV per atom



No. 4
First-principles (PBEsol) data for a geometry-optimized B3RhI structure, as listed in the Alexandria database.

Lattice parameters (Å, degrees): 4.275 4.275 4.275 90.00 90.00 90.00
Space group Pm-3m (No. 221)
Symmetry-distinct sites (fractional):
B  0.000  0.000  0.500 [3 per cell]
Rh  0.500  0.500  0.500 [1 per cell]
I  0.000  0.000  0.000 [1 per cell]

Computed properties:
**ΔE_f (raw)**: 14.3 eV/f.u.
**DOS(E_F)**: 0.82 states/eV per atom



No. 5
First-principles (PBEsol) data for a geometry-optimized B2RhI structure, as listed in the Alexandria database.

Lattice parameters (Å, degrees): 5.874 5.874 5.874 90.00 90.00 90.00
Space group Fm-3m (No. 225)
Symmetry-distinct sites (fractional):
B  0.250  0.250  0.250 [8 per cell]
Rh  0.000  0.000  0.000 [4 per cell]
I  0.000  0.000  0.500 [4 per cell]

Computed properties:
**ΔE_f (raw)**: 6.9 eV/f.u.
**DOS(E_F)**: 0.72 states/eV per atom



No. 6
First-principles (PBEsol) data for a geometry-optimized BRhI2 structure, as listed in the Alexandria database.

Lattice parameters (Å, degrees): 5.683 5.683 11.198 90.00 90.00 90.00
Space group I-42d (No. 122)
Symmetry-distinct sites (fractional):
B  0.000  0.000  0.000 [4 per cell]
Rh  0.000  0.000  0.500 [4 per cell]
I  0.223  0.250  0.125 [8 per cell]

Computed properties:
**ΔE_f (raw)**: 3.8 eV/f.u.
**DOS(E_F)**: 0.27 states/eV per atom



Q: Look up the ΔE_f (raw) of the third one.
A: 19.6 eV/f.u.



Q: What is the ΔE_f (raw) in the second record?
A: 6.8 eV/f.u.



Q: Which value of DOS(E_F) does entry 5 give?
A: 0.72 states/eV per atom